# 1
## Cd3PdPt12 (PBE-GGA)

Data for a geometry-optimized Cd3PdPt12 structure.

Computed properties:
The energy is -5.1817 eV per atom. The formation energy comes out at -0.155 eV per atom. Its total moment is 0.00 μB/f.u.

Cell lengths 4.0102, 4.0102, 16.1552 Å; angles 90.00, 90.00, 90.00 degrees
Closest atoms and distances in Å follow each position.
Sites, in units of the cell vectors:
Cd 0.0000 0.0000 0.0000  12 Pt 2.84-2.86
Cd 0.0000 0.0000 0.2522  12 Pt 2.84-2.86
Cd 0.0000 0.0000 0.7478  12 Pt 2.84-2.86
Pd 0.0000 0.0000 0.5000  12 Pt 2.81-2.84
Pt 0.0000 0.5000 0.1263  8 Pt 2.84-2.86, 4 Cd 2.86
Pt 0.0000 0.5000 0.3786  2 Pd 2.81, 8 Pt 2.81-2.86, 2 Cd 2.86
Pt 0.0000 0.5000 0.6214  8 Pt 2.81-2.86, 2 Pd 2.81, 2 Cd 2.86
Pt 0.0000 0.5000 0.8737  8 Pt 2.84-2.86, 4 Cd 2.86
Pt 0.5000 0.0000 0.1263  8 Pt 2.84-2.86, 4 Cd 2.86
Pt 0.5000 0.0000 0.3786  2 Pd 2.81, 8 Pt 2.81-2.86, 2 Cd 2.86
Pt 0.5000 0.0000 0.6214  8 Pt 2.81-2.86, 2 Pd 2.81, 2 Cd 2.86
Pt 0.5000 0.0000 0.8737  8 Pt 2.84-2.86, 4 Cd 2.86
Pt 0.5000 0.5000 0.0000  4 Cd 2.84, 8 Pt 2.86
Pt 0.5000 0.5000 0.2525  4 Cd 2.84, 8 Pt 2.86
Pt 0.5000 0.5000 0.5000  8 Pt 2.81, 4 Pd 2.84
Pt 0.5000 0.5000 0.7475  4 Cd 2.84, 8 Pt 2.86



# 2
## CdPd2Pt (PBE-GGA)

Data for a geometry-optimized CdPd2Pt structure.

Computed properties:
The energy is -4.5864 eV per atom. The formation energy comes out at -0.251 eV per atom. Its total moment is 0.00 μB/f.u.

Cell lengths 4.8432, 4.8432, 2.8825 Å; angles 90.00, 90.00, 105.30 degrees
Closest atoms and distances in Å follow each position.
Sites, in units of the cell vectors:
Cd 0.0000 0.0000 0.0000  8 Pd 2.82, 2 Cd 2.88, 2 Pt 2.94
Pd 0.0000 0.5000 0.5000  4 Cd 2.82, 4 Pt 2.82, 4 Pd 2.88-2.94
Pd 0.5000 0.0000 0.5000  4 Cd 2.82, 4 Pt 2.82, 4 Pd 2.88-2.94
Pt 0.5000 0.5000 0.0000  8 Pd 2.82, 2 Pt 2.88, 2 Cd 2.94



# 3
## CdPd2Pt (PBE-GGA)

Data for a geometry-optimized CdPd2Pt structure.

Computed properties:
The energy is -4.5583 eV per atom. The formation energy comes out at -0.223 eV per atom. Its total moment is 0.00 μB/f.u.

Cell lengths 4.7476, 4.7476, 2.9121 Å; angles 90.00, 90.00, 90.00 degrees
Closest atoms and distances in Å follow each position.
Sites, in units of the cell vectors:
Cd 0.0000 0.0000 0.0000  8 Pd 2.78, 2 Cd 2.91
Pd 0.0000 0.5000 0.5000  4 Cd 2.78, 4 Pt 2.78, 2 Pd 2.91
Pd 0.5000 0.0000 0.5000  4 Cd 2.78, 4 Pt 2.78, 2 Pd 2.91
Pt 0.5000 0.5000 0.0000  8 Pd 2.78, 2 Pt 2.91



# 4
## Cd3Pd2Pt3 (PBE-GGA)

Data for a geometry-optimized Cd3Pd2Pt3 structure.

Computed properties:
The energy is -4.1732 eV per atom. The formation energy comes out at -0.267 eV per atom. Its total moment is 0.00 μB/f.u.

Cell lengths 4.7096, 4.7487, 6.1124 Å; angles 90.00, 90.00, 90.00 degrees
Closest atoms and distances in Å follow each position.
Sites, in units of the cell vectors:
Cd 0.0000 0.0000 0.0000  4 Pd 2.82, 4 Pt 2.85, 2 Cd 3.06
Cd 0.0000 0.0000 0.5000  4 Pd 2.79, 4 Pt 2.79, 2 Cd 3.06
Cd 0.5000 0.5000 0.0000  6 Pt 2.84-3.06, 4 Pd 2.84
Pd 0.5000 0.0000 0.2551  6 Cd 2.79-2.84, 2 Pt 2.81, 2 Pd 2.99-3.12
Pd 0.5000 0.0000 0.7449  6 Cd 2.79-2.84, 2 Pt 2.81, 2 Pd 2.99-3.12
Pt 0.0000 0.5000 0.2592  3 Pt 2.78-2.94, 6 Cd 2.79-2.85
Pt 0.0000 0.5000 0.7408  3 Pt 2.78-2.94, 6 Cd 2.79-2.85
Pt 0.5000 0.5000 0.5000  4 Pt 2.78, 4 Pd 2.81, 2 Cd 3.06